DFT (PBE-GGA) results for a relaxed ZnHg2Cl crystal.

Symmetry ... I-4m2, No. 119
E above lowest polymorph ... 234 meV/atom

abc: 4.1456 4.1456 11.6852
angles: 90.00 90.00 90.00
With the nearest neighbours (Å) after each atom.
Fractional coordinates of all 8 atoms:
Zn (0.0000, 0.0000, 0.0000)  4 Hg 2.93
Zn (0.5000, 0.5000, 0.5000)  4 Hg 2.93
Hg (0.0000, 0.0000, 0.5000)  4 Zn 2.93
Hg (0.0000, 0.5000, 0.2500)  4 Cl 2.93
Hg (0.5000, 0.0000, 0.7500)  4 Cl 2.93
Hg (0.5000, 0.5000, 0.0000)  4 Zn 2.93
Cl (0.0000, 0.5000, 0.7500)  4 Hg 2.93
Cl (0.5000, 0.0000, 0.2500)  4 Hg 2.93

=====

DFT (PBE-GGA) results for a relaxed ZnHg2Cl crystal.

Symmetry ... Immm, No. 71
E above lowest polymorph ... 115 meV/atom

abc: 3.9383 6.2079 8.4673
angles: 90.00 90.00 90.00
With the nearest neighbours (Å) after each atom.
Fractional coordinates of all 8 atoms:
Zn (0.0000, 0.0000, 0.0000)  4 Hg 2.75
Zn (0.5000, 0.5000, 0.5000)  4 Hg 2.75
Hg (0.0000, 0.5000, 0.2733)  2 Zn 2.75, 2 Cl 3.04
Hg (0.0000, 0.5000, 0.7267)  2 Zn 2.75, 2 Cl 3.04
Hg (0.5000, 0.0000, 0.2267)  2 Zn 2.75, 2 Cl 3.04
Hg (0.5000, 0.0000, 0.7733)  2 Zn 2.75, 2 Cl 3.04
Cl (0.0000, 0.0000, 0.5000)  4 Hg 3.04
Cl (0.5000, 0.5000, 0.0000)  4 Hg 3.04

=====

DFT (PBE-GGA) results for a relaxed ZnHgCl4 crystal.

Symmetry ... C2/m, No. 12
E above lowest polymorph ... 0 meV/atom

abc: 14.1953 3.8475 6.5368
angles: 90.00 115.31 90.00
With the nearest neighbours (Å) after each atom.
Fractional coordinates of all 12 atoms:
Zn (0.0000, 0.0000, 0.0000)  6 Cl 2.40-2.59
Zn (0.5000, 0.5000, 0.0000)  6 Cl 2.40-2.59
Hg (0.0000, 0.5000, 0.5000)  6 Cl 2.62-2.76
Hg (0.5000, 0.0000, 0.5000)  6 Cl 2.62-2.76
Cl (0.1080, 0.5000, 0.2597)  2 Zn 2.59, 1 Hg 2.62
Cl (0.1123, 0.0000, 0.8107)  1 Zn 2.40
Cl (0.3877, 0.5000, 0.1893)  1 Zn 2.40
Cl (0.3920, 0.0000, 0.7403)  2 Zn 2.59, 1 Hg 2.62
Cl (0.6080, 0.0000, 0.2597)  2 Zn 2.59, 1 Hg 2.62
Cl (0.6123, 0.5000, 0.8107)  1 Zn 2.40
Cl (0.8877, 0.0000, 0.1893)  1 Zn 2.40
Cl (0.8920, 0.5000, 0.7403)  2 Zn 2.59, 1 Hg 2.62

=====

DFT (PBE-GGA) results for a relaxed Zn2HgCl crystal.

Symmetry ... Immm, No. 71
E above lowest polymorph ... 151 meV/atom

abc: 3.6454 6.1073 8.1933
angles: 90.00 90.00 90.00
With the nearest neighbours (Å) after each atom.
Fractional coordinates of all 8 atoms:
Zn (0.0000, 0.0000, 0.2441)  2 Cl 2.71, 2 Hg 2.78
Zn (0.0000, 0.0000, 0.7559)  2 Cl 2.71, 2 Hg 2.78
Zn (0.5000, 0.5000, 0.2559)  2 Cl 2.71, 2 Hg 2.78
Zn (0.5000, 0.5000, 0.7441)  2 Cl 2.71, 2 Hg 2.78
Hg (0.0000, 0.5000, 0.0000)  4 Zn 2.78
Hg (0.5000, 0.0000, 0.5000)  4 Zn 2.78
Cl (0.0000, 0.5000, 0.5000)  4 Zn 2.71
Cl (0.5000, 0.0000, 0.0000)  4 Zn 2.71

=====

DFT (PBE-GGA) results for a relaxed ZnHg2Cl crystal.

Symmetry ... P2/m, No. 10
E above lowest polymorph ... 67 meV/atom

abc: 5.1817 4.0921 5.1953
angles: 90.00 110.09 90.00
With the nearest neighbours (Å) after each atom.
Fractional coordinates of all 4 atoms:
Zn (0.0000, 0.0000, 0.0000)  4 Hg 2.76, 2 Cl 2.97
Hg (0.2182, 0.5000, 0.7814)  2 Zn 2.76, 2 Hg 3.02
Hg (0.7818, 0.5000, 0.2186)  2 Zn 2.76, 2 Hg 3.02
Cl (0.5000, 0.0000, 0.5000)  2 Zn 2.97, 4 Hg 3.15

=====

DFT (PBE-GGA) results for a relaxed Zn4HgCl crystal.

Symmetry ... F-43m, No. 216

abc: 5.4367 5.4367 5.4367
angles: 60.00 60.00 60.00
With the nearest neighbours (Å) after each atom.
Fractional coordinates of all 6 atoms:
Zn (0.3760, 0.3760, 0.3760)  6 Zn 2.70-2.74
Zn (0.3760, 0.3760, 0.8719)  6 Zn 2.70-2.74
Zn (0.3760, 0.8719, 0.3760)  6 Zn 2.70-2.74
Zn (0.8719, 0.3760, 0.3760)  6 Zn 2.70-2.74
Hg (0.7500, 0.7500, 0.7500)  12 Zn 3.19, 4 Cl 3.33
Cl (0.0000, 0.0000, 0.0000)  12 Zn 3.19, 4 Hg 3.33

=====

DFT (PBE-GGA) results for a relaxed ZnHgCl2 crystal.

Symmetry ... I4cm, No. 108
E above lowest polymorph ... 0 meV/atom

abc: 10.0256 10.0256 6.3062
angles: 90.00 90.00 90.00
With the nearest neighbours (Å) after each atom.
Fractional coordinates of all 16 atoms:
Zn (0.0000, 0.5000, 0.0000)  4 Cl 2.32
Zn (0.0000, 0.5000, 0.5000)  4 Cl 2.32
Zn (0.5000, 0.0000, 0.0000)  4 Cl 2.32
Zn (0.5000, 0.0000, 0.5000)  4 Cl 2.32
Hg (0.0000, 0.0000, 0.2488)  2 Hg 3.15
Hg (0.0000, 0.0000, 0.7488)  2 Hg 3.15
Hg (0.5000, 0.5000, 0.2488)  2 Hg 3.15
Hg (0.5000, 0.5000, 0.7488)  2 Hg 3.15
Cl (0.1197, 0.3803, 0.2500)  2 Zn 2.32
Cl (0.1197, 0.6197, 0.7500)  2 Zn 2.32
Cl (0.3803, 0.1197, 0.7500)  2 Zn 2.32
Cl (0.3803, 0.8803, 0.2500)  2 Zn 2.32
Cl (0.6197, 0.1197, 0.2500)  2 Zn 2.32
Cl (0.6197, 0.8803, 0.7500)  2 Zn 2.32
Cl (0.8803, 0.3803, 0.7500)  2 Zn 2.32
Cl (0.8803, 0.6197, 0.2500)  2 Zn 2.32

=====

DFT (PBE-GGA) results for a relaxed ZnHgCl2 crystal.

Symmetry ... C2/m, No. 12
E above lowest polymorph ... 18 meV/atom

abc: 6.2213 3.5893 10.2400
angles: 90.00 100.39 90.00
With the nearest neighbours (Å) after each atom.
Fractional coordinates of all 8 atoms:
Zn (0.0000, 0.0000, 0.0000)  6 Cl 2.49
Zn (0.5000, 0.5000, 0.0000)  6 Cl 2.49
Hg (0.0000, 0.5000, 0.5000)  6 Hg 3.59
Hg (0.5000, 0.0000, 0.5000)  6 Hg 3.59
Cl (0.2069, 0.5000, 0.1363)  3 Zn 2.49
Cl (0.2931, 0.0000, 0.8637)  3 Zn 2.49
Cl (0.7069, 0.0000, 0.1363)  3 Zn 2.49
Cl (0.7931, 0.5000, 0.8637)  3 Zn 2.49

=====

DFT (PBE-GGA) results for a relaxed ZrHgCl crystal.

Symmetry ... F-43m, No. 216
E above lowest polymorph ... 833 meV/atom

abc: 6.5235 6.5235 6.5235
angles: 90.00 90.00 90.00
With the nearest neighbours (Å) after each atom.
Fractional coordinates of all 12 atoms:
Zr (0.0000, 0.0000, 0.0000)  4 Cl 2.82
Zr (0.0000, 0.5000, 0.5000)  4 Cl 2.82
Zr (0.5000, 0.0000, 0.5000)  4 Cl 2.82
Zr (0.5000, 0.5000, 0.0000)  4 Cl 2.82
Hg (0.0000, 0.0000, 0.5000)  4 Cl 2.82
Hg (0.0000, 0.5000, 0.0000)  4 Cl 2.82
Hg (0.5000, 0.0000, 0.0000)  4 Cl 2.82
Hg (0.5000, 0.5000, 0.5000)  4 Cl 2.82
Cl (0.2500, 0.2500, 0.7500)  4 Hg 2.82, 4 Zr 2.82
Cl (0.2500, 0.7500, 0.2500)  4 Hg 2.82, 4 Zr 2.82
Cl (0.7500, 0.2500, 0.2500)  4 Hg 2.82, 4 Zr 2.82
Cl (0.7500, 0.7500, 0.7500)  4 Hg 2.82, 4 Zr 2.82

=====

DFT (PBE-GGA) results for a relaxed ZrHgCl2 crystal.

Symmetry ... Pmmm, No. 47
E above lowest polymorph ... 755 meV/atom

abc: 3.3810 4.6316 5.4868
angles: 90.00 90.00 90.00
With the nearest neighbours (Å) after each atom.
Fractional coordinates of all 4 atoms:
Zr (0.0000, 0.0000, 0.0000)  4 Cl 2.87
Hg (0.5000, 0.0000, 0.5000)  4 Cl 2.87
Cl (0.0000, 0.5000, 0.5000)  4 Hg 2.87
Cl (0.5000, 0.5000, 0.0000)  4 Zr 2.87

=====

DFT (PBE-GGA) results for a relaxed ZrHgCl2 crystal.

Symmetry ... F-43m, No. 216
E above lowest polymorph ... 1004 meV/atom

abc: 7.1140 7.1140 7.1140
angles: 90.00 90.00 90.00
With the nearest neighbours (Å) after each atom.
Fractional coordinates of all 16 atoms:
Zr (0.0000, 0.0000, 0.0000)  4 Hg 3.08, 4 Cl 3.08
Zr (0.0000, 0.5000, 0.5000)  4 Hg 3.08, 4 Cl 3.08
Zr (0.5000, 0.0000, 0.5000)  4 Hg 3.08, 4 Cl 3.08
Zr (0.5000, 0.5000, 0.0000)  4 Hg 3.08, 4 Cl 3.08
Hg (0.2500, 0.2500, 0.7500)  4 Zr 3.08, 4 Cl 3.08
Hg (0.2500, 0.7500, 0.2500)  4 Zr 3.08, 4 Cl 3.08
Hg (0.7500, 0.2500, 0.2500)  4 Zr 3.08, 4 Cl 3.08
Hg (0.7500, 0.7500, 0.7500)  4 Zr 3.08, 4 Cl 3.08
Cl (0.0000, 0.0000, 0.5000)  4 Hg 3.08, 4 Cl 3.08
Cl (0.0000, 0.5000, 0.0000)  4 Hg 3.08, 4 Cl 3.08
Cl (0.2500, 0.2500, 0.2500)  4 Zr 3.08, 4 Cl 3.08
Cl (0.2500, 0.7500, 0.7500)  4 Zr 3.08, 4 Cl 3.08
Cl (0.5000, 0.0000, 0.0000)  4 Hg 3.08, 4 Cl 3.08
Cl (0.5000, 0.5000, 0.5000)  4 Hg 3.08, 4 Cl 3.08
Cl (0.7500, 0.2500, 0.7500)  4 Zr 3.08, 4 Cl 3.08
Cl (0.7500, 0.7500, 0.2500)  4 Zr 3.08, 4 Cl 3.08

=====

DFT (PBE-GGA) results for a relaxed ZrHgCl2 crystal.

Symmetry ... Imm2, No. 44
E above lowest polymorph ... 336 meV/atom

abc: 3.2135 4.5275 14.6709
angles: 90.00 90.00 90.00
With the nearest neighbours (Å) after each atom.
Fractional coordinates of all 8 atoms:
Zr (0.0000, 0.0000, 0.0000)  6 Cl 2.59-2.80
Zr (0.5000, 0.5000, 0.5000)  6 Cl 2.59-2.80
Hg (0.0000, 0.5000, 0.6858)  2 Zr 3.16, 2 Hg 3.21, 2 Cl 3.26
Hg (0.5000, 0.0000, 0.1858)  2 Zr 3.16, 2 Hg 3.21, 2 Cl 3.26
Cl (0.0000, 0.0000, 0.5255)  4 Zr 2.80
Cl (0.0000, 0.5000, 0.3619)  2 Zr 2.59
Cl (0.5000, 0.0000, 0.8619)  2 Zr 2.59
Cl (0.5000, 0.5000, 0.0255)  4 Zr 2.80

=====

DFT (PBE-GGA) results for a relaxed ZrHgCl crystal.

Symmetry ... F-43m, No. 216
E above lowest polymorph ... 700 meV/atom

abc: 6.6518 6.6518 6.6518
angles: 90.00 90.00 90.00
With the nearest neighbours (Å) after each atom.
Fractional coordinates of all 12 atoms:
Zr (0.0000, 0.0000, 0.0000)  4 Hg 2.88, 4 Cl 2.88
Zr (0.0000, 0.5000, 0.5000)  4 Hg 2.88, 4 Cl 2.88
Zr (0.5000, 0.0000, 0.5000)  4 Hg 2.88, 4 Cl 2.88
Zr (0.5000, 0.5000, 0.0000)  4 Hg 2.88, 4 Cl 2.88
Hg (0.2500, 0.2500, 0.7500)  4 Zr 2.88
Hg (0.2500, 0.7500, 0.2500)  4 Zr 2.88
Hg (0.7500, 0.2500, 0.2500)  4 Zr 2.88
Hg (0.7500, 0.7500, 0.7500)  4 Zr 2.88
Cl (0.2500, 0.2500, 0.2500)  4 Zr 2.88
Cl (0.2500, 0.7500, 0.7500)  4 Zr 2.88
Cl (0.7500, 0.2500, 0.7500)  4 Zr 2.88
Cl (0.7500, 0.7500, 0.2500)  4 Zr 2.88

=====

DFT (PBE-GGA) results for a relaxed ZrHg3Cl crystal.

Symmetry ... Pm-3m, No. 221
E above lowest polymorph ... 0 meV/atom

abc: 5.7046 5.7046 5.7046
angles: 90.00 90.00 90.00
With the nearest neighbours (Å) after each atom.
Fractional coordinates of all 5 atoms:
Zr (0.0000, 0.0000, 0.0000)  6 Hg 2.85
Hg (0.0000, 0.0000, 0.5000)  2 Zr 2.85
Hg (0.0000, 0.5000, 0.0000)  2 Zr 2.85
Hg (0.5000, 0.0000, 0.0000)  2 Zr 2.85
Cl (0.5000, 0.5000, 0.5000)  12 Hg 4.03

=====

DFT (PBE-GGA) results for a relaxed ZrHgCl3 crystal.

Symmetry ... R-3, No. 148
E above lowest polymorph ... 0 meV/atom

abc: 10.9467 10.9467 10.9467
angles: 33.13 33.13 33.13
With the nearest neighbours (Å) after each atom.
Fractional coordinates of all 10 atoms:
Zr (0.1667, 0.1667, 0.1667)  6 Cl 2.56
Zr (0.8333, 0.8333, 0.8333)  6 Cl 2.56
Hg (0.3344, 0.3344, 0.3344)  3 Hg 3.60
Hg (0.6656, 0.6656, 0.6656)  3 Hg 3.60
Cl (0.1141, 0.7883, 0.4510)  2 Zr 2.56
Cl (0.2117, 0.5490, 0.8859)  2 Zr 2.56
Cl (0.4510, 0.1141, 0.7883)  2 Zr 2.56
Cl (0.5490, 0.8859, 0.2117)  2 Zr 2.56
Cl (0.7883, 0.4510, 0.1141)  2 Zr 2.56
Cl (0.8859, 0.2117, 0.5490)  2 Zr 2.56

=====

DFT (PBE-GGA) results for a relaxed ZrHgCl2 crystal.

Symmetry ... Cmmm, No. 65
E above lowest polymorph ... 808 meV/atom

abc: 6.2577 8.4531 3.3225
angles: 90.00 90.00 90.00
With the nearest neighbours (Å) after each atom.
Fractional coordinates of all 8 atoms:
Zr (0.0000, 0.0000, 0.0000)  8 Cl 3.11, 2 Hg 3.13, 2 Zr 3.32
Zr (0.5000, 0.5000, 0.0000)  8 Cl 3.11, 2 Hg 3.13, 2 Zr 3.32
Hg (0.0000, 0.5000, 0.0000)  8 Cl 3.11, 2 Zr 3.13, 2 Hg 3.32
Hg (0.5000, 0.0000, 0.0000)  8 Cl 3.11, 2 Zr 3.13, 2 Hg 3.32
Cl (0.2500, 0.2500, 0.5000)  4 Hg 3.11, 4 Zr 3.11, 4 Cl 3.13-3.32
Cl (0.2500, 0.7500, 0.5000)  4 Hg 3.11, 4 Zr 3.11, 4 Cl 3.13-3.32
Cl (0.7500, 0.2500, 0.5000)  4 Hg 3.11, 4 Zr 3.11, 4 Cl 3.13-3.32
Cl (0.7500, 0.7500, 0.5000)  4 Zr 3.11, 4 Hg 3.11, 4 Cl 3.13-3.32

=====

DFT (PBE-GGA) results for a relaxed ZrHgCl crystal.

Symmetry ... P-6m2, No. 187
E above lowest polymorph ... 365 meV/atom

abc: 4.6228 4.6228 3.5141
angles: 90.00 90.00 120.00
With the nearest neighbours (Å) after each atom.
Fractional coordinates of all 3 atoms:
Zr (0.0000, 0.0000, 0.0000)  3 Cl 2.67
Hg (0.3333, 0.6667, 0.5000)  6 Zr 3.20, 6 Cl 3.20, 2 Hg 3.51
Cl (0.6667, 0.3333, 0.0000)  3 Zr 2.67

=====

DFT (PBE-GGA) results for a relaxed ZrHgCl2 crystal.

Symmetry ... I-4m2, No. 119
E above lowest polymorph ... 852 meV/atom

abc: 4.1142 4.1142 10.1611
angles: 90.00 90.00 90.00
With the nearest neighbours (Å) after each atom.
Fractional coordinates of all 8 atoms:
Zr (0.0000, 0.0000, 0.0000)  4 Cl 2.91
Zr (0.5000, 0.5000, 0.5000)  4 Cl 2.91
Hg (0.0000, 0.5000, 0.2500)  4 Cl 2.91
Hg (0.5000, 0.0000, 0.7500)  4 Cl 2.91
Cl (0.0000, 0.0000, 0.5000)  4 Zr 2.91
Cl (0.0000, 0.5000, 0.7500)  4 Hg 2.91
Cl (0.5000, 0.0000, 0.2500)  4 Hg 2.91
Cl (0.5000, 0.5000, 0.0000)  4 Zr 2.91

=====

DFT (PBE-GGA) results for a relaxed ZrHg2Cl2 crystal.

Symmetry ... P4/mbm, No. 127
E above lowest polymorph ... 0 meV/atom

abc: 7.5163 7.5163 4.6725
angles: 90.00 90.00 90.00
With the nearest neighbours (Å) after each atom.
Fractional coordinates of all 10 atoms:
Zr (0.0000, 0.0000, 0.0000)  4 Hg 2.93
Zr (0.5000, 0.5000, 0.0000)  4 Hg 2.93
Hg (0.1336, 0.3664, 0.0000)  1 Hg 2.84, 2 Zr 2.93, 2 Cl 3.05
Hg (0.3664, 0.8664, 0.0000)  1 Hg 2.84, 2 Zr 2.93, 2 Cl 3.05
Hg (0.6335, 0.1336, 0.0000)  1 Hg 2.84, 2 Zr 2.93, 2 Cl 3.05
Hg (0.8664, 0.6335, 0.0000)  1 Hg 2.84, 2 Zr 2.93, 2 Cl 3.05
Cl (0.1827, 0.6827, 0.5000)  6 Hg 3.05-3.35
Cl (0.3173, 0.1827, 0.5000)  6 Hg 3.05-3.35
Cl (0.6827, 0.8173, 0.5000)  6 Hg 3.05-3.35
Cl (0.8173, 0.3173, 0.5000)  6 Hg 3.05-3.35

=====

DFT (PBE-GGA) results for a relaxed ZrHgCl2 crystal.

Symmetry ... C2/m, No. 12
E above lowest polymorph ... 697 meV/atom

abc: 6.3683 9.3896 3.3150
angles: 90.00 118.21 90.00
With the nearest neighbours (Å) after each atom.
Fractional coordinates of all 8 atoms:
Zr (0.0000, 0.0000, 0.0000)  4 Cl 2.84
Zr (0.5000, 0.5000, 0.0000)  4 Cl 2.84
Hg (0.0000, 0.5000, 0.0000)  4 Cl 2.84
Hg (0.5000, 0.0000, 0.0000)  4 Cl 2.84
Cl (0.2500, 0.2500, 0.0000)  2 Hg 2.84, 2 Zr 2.84
Cl (0.2500, 0.7500, 0.0000)  2 Hg 2.84, 2 Zr 2.84
Cl (0.7500, 0.2500, 0.0000)  2 Hg 2.84, 2 Zr 2.84
Cl (0.7500, 0.7500, 0.0000)  2 Zr 2.84, 2 Hg 2.84

=====

| no. | E_form (uncorrected) (meV per atom) | volume (Å³ per atom) | raw total energy (eV/atom) |
| --- | --- | --- | --- |
| 1 | -21 | 25.10 | -0.95 |
| 2 | -141 | 25.88 | -1.07 |
| 3 | -800 | 26.90 | -2.29 |
| 4 | -67 | 22.80 | -1.24 |
| 5 | -189 | 25.86 | -1.12 |
| 6 | 65 | 18.94 | -1.14 |
| 7 | -806 | 39.62 | -2.12 |
| 8 | -788 | 28.11 | -2.10 |
| 9 | 146 | 23.13 | -3.42 |
| 10 | -378 | 21.48 | -3.51 |
| 11 | -129 | 22.50 | -3.27 |
| 12 | -797 | 26.68 | -3.93 |
| 13 | 13 | 24.53 | -3.55 |
| 14 | 341 | 37.13 | -1.92 |
| 15 | -1317 | 34.88 | -4.19 |
| 16 | -326 | 21.97 | -3.46 |
| 17 | -322 | 21.68 | -3.89 |
| 18 | -282 | 21.50 | -3.42 |
| 19 | 37 | 26.40 | -2.53 |
| 20 | -437 | 21.83 | -3.57 |